GdAlZnPd (PBE-GGA, optimized geometry); crystal system = cubic; energy relative to the elements = -0.587 eV per atom
1.0
4.724 0.000 0.000
2.362 4.091 0.000
2.362 1.364 3.857
Zn Gd Al Pd
1 1 1 1
Direct
0.000 0.000 0.000
0.750 0.750 0.750
0.250 0.250 0.250
0.500 0.500 0.500



PmGd2Al (PBE-GGA, optimized geometry); crystal system = tetragonal; energy relative to the elements = -0.193 eV per atom; offset from the most stable computed form = 0.0000 eV/atom
1.0
-4.346 -1.879 1.029
2.123 -3.905 1.834
0.118 2.096 4.326
Gd Al Pm
2 1 1
Direct
0.000 0.000 0.500
0.000 0.500 0.000
0.500 0.000 0.000
0.500 0.500 0.500



PmGdAl (PBE-GGA, optimized geometry); crystal system = cubic; energy relative to the elements = -0.047 eV per atom; offset from the most stable computed form = 0.1776 eV/atom
1.0
5.129 0.000 0.000
2.565 4.442 0.000
2.565 1.481 4.188
Gd Al Pm
1 1 1
Direct
0.000 0.000 0.000
0.250 0.250 0.250
0.500 0.500 0.500



Pm2GdAl (PBE-GGA, optimized geometry); crystal system = tetragonal; energy relative to the elements = -0.152 eV per atom; offset from the most stable computed form = 0.0341 eV/atom
1.0
3.579 0.000 0.000
0.000 3.579 0.000
0.000 0.000 9.220
Gd Al Pm
1 1 2
Direct
0.500 0.500 0.500
0.500 0.500 0.000
0.000 0.000 0.786
0.000 0.000 0.214



PmGd2Al (PBE-GGA, optimized geometry); crystal system = cubic; energy relative to the elements = -0.046 eV per atom; offset from the most stable computed form = 0.1468 eV/atom
1.0
5.415 0.000 0.000
2.707 4.689 0.000
2.707 1.563 4.421
Gd Al Pm
2 1 1
Direct
0.250 0.250 0.250
0.750 0.750 0.750
0.500 0.500 0.500
0.000 0.000 0.000



PmGd2Al (PBE-GGA, optimized geometry); crystal system = tetragonal; energy relative to the elements = -0.182 eV per atom; offset from the most stable computed form = 0.0103 eV/atom
1.0
3.534 0.000 0.000
0.000 3.534 0.000
0.000 0.000 9.231
Gd Al Pm
2 1 1
Direct
0.000 0.000 0.788
0.000 0.000 0.212
0.500 0.500 0.000
0.500 0.500 0.500



PmGdAl4 (PBE-GGA, optimized geometry); crystal system = cubic; energy relative to the elements = -0.518 eV per atom
1.0
5.626 0.000 0.000
2.813 4.873 0.000
2.813 1.624 4.594
Gd Al Pm
1 4 1
Direct
0.000 0.000 0.000
0.625 0.625 0.125
0.625 0.125 0.625
0.625 0.625 0.625
0.125 0.625 0.625
0.250 0.250 0.250



PmGdAl (PBE-GGA, optimized geometry); crystal system = trigonal; energy relative to the elements = -0.148 eV per atom; offset from the most stable computed form = 0.0759 eV/atom
1.0
-3.312 1.366 0.491
-1.605 -2.364 -4.248
-0.309 -2.376 4.524
Gd Al Pm
1 1 1
Direct
0.384 0.667 0.333
0.655 0.333 0.667
0.962 0.000 0.000



PmGdAl (PBE-GGA, optimized geometry); crystal system = tetragonal; energy relative to the elements = -0.224 eV per atom; offset from the most stable computed form = 0.0000 eV/atom
1.0
3.673 0.000 0.000
0.000 3.673 0.000
-1.836 -1.836 6.242
Gd Al Pm
1 1 1
Direct
0.303 0.303 0.606
0.948 0.948 0.896
0.599 0.599 0.198



Pm2GdAl (PBE-GGA, optimized geometry); crystal system = cubic; energy relative to the elements = -0.072 eV per atom; offset from the most stable computed form = 0.1138 eV/atom
1.0
5.443 0.000 0.000
2.722 4.714 0.000
2.722 1.571 4.444
Gd Al Pm
1 1 2
Direct
0.500 0.500 0.500
0.000 0.000 0.000
0.250 0.250 0.250
0.750 0.750 0.750



Pm2GdAl (PBE-GGA, optimized geometry); crystal system = tetragonal; energy relative to the elements = -0.186 eV per atom; offset from the most stable computed form = 0.0000 eV/atom
1.0
4.823 0.000 0.000
0.000 4.858 0.000
0.000 0.000 4.858
Gd Al Pm
1 1 2
Direct
0.500 0.000 0.000
0.500 0.500 0.500
0.000 0.000 0.500
0.000 0.500 0.000



PmPrGdAl (PBE-GGA, optimized geometry); crystal system = cubic; energy relative to the elements = -0.072 eV per atom
1.0
5.474 0.000 0.000
2.737 4.741 0.000
2.737 1.580 4.470
Pr Gd Al Pm
1 1 1 1
Direct
0.500 0.500 0.500
0.750 0.750 0.750
0.250 0.250 0.250
0.000 0.000 0.000



PmGdAlPt (PBE-GGA, optimized geometry); crystal system = cubic; energy relative to the elements = -0.661 eV per atom
1.0
5.126 0.000 0.000
2.563 4.439 0.000
2.563 1.480 4.185
Gd Al Pt Pm
1 1 1 1
Direct
0.500 0.500 0.500
0.250 0.250 0.250
0.750 0.750 0.750
0.000 0.000 0.000



PmGdPuAl (PBE-GGA, optimized geometry); crystal system = cubic; energy relative to the elements = 0.089 eV per atom
1.0
-4.648 -1.753 -2.024
-0.082 -4.320 -3.178
-2.134 -4.592 1.770
Gd Pm Al Pu
1 1 1 1
Direct
0.000 0.000 0.000
0.750 0.750 0.750
0.250 0.250 0.250
0.500 0.500 0.500



PmSmGdAl (PBE-GGA, optimized geometry); crystal system = cubic; energy relative to the elements = -0.070 eV per atom
1.0
5.433 0.000 0.000
2.717 4.705 0.000
2.717 1.568 4.436
Gd Al Sm Pm
1 1 1 1
Direct
0.750 0.750 0.750
0.250 0.250 0.250
0.500 0.500 0.500
0.000 0.000 0.000



PmGdAlSn (PBE-GGA, optimized geometry); crystal system = cubic; energy relative to the elements = -0.464 eV per atom
1.0
5.318 0.000 0.000
2.659 4.605 0.000
2.659 1.535 4.342
Al Gd Sn Pm
1 1 1 1
Direct
0.750 0.750 0.750
0.000 0.000 0.000
0.250 0.250 0.250
0.500 0.500 0.500



TbPmGdAl (PBE-GGA, optimized geometry); crystal system = cubic; energy relative to the elements = -0.061 eV per atom
1.0
5.412 0.000 0.000
2.706 4.687 0.000
2.706 1.562 4.419
Gd Tb Al Pm
1 1 1 1
Direct
0.000 0.000 0.000
0.250 0.250 0.250
0.750 0.750 0.750
0.500 0.500 0.500



PmGdAlTl (PBE-GGA, optimized geometry); crystal system = cubic; energy relative to the elements = -0.347 eV per atom
1.0
5.332 0.000 0.000
2.666 4.618 0.000
2.666 1.539 4.354
Tl Gd Al Pm
1 1 1 1
Direct
0.500 0.500 0.500
0.750 0.750 0.750
0.000 0.000 0.000
0.250 0.250 0.250



PmGdYAl (PBE-GGA, optimized geometry); crystal system = cubic; energy relative to the elements = -0.073 eV per atom
1.0
5.406 0.000 0.000
2.703 4.681 0.000
2.703 1.560 4.414
Y Gd Al Pm
1 1 1 1
Direct
0.750 0.750 0.750
0.500 0.500 0.500
0.000 0.000 0.000
0.250 0.250 0.250



PmGdAlZn (PBE-GGA, optimized geometry); crystal system = cubic; energy relative to the elements = -0.352 eV per atom
1.0
-2.627 -1.929 4.030
-2.793 -4.330 -0.560
1.564 -4.401 2.246
Zn Gd Al Pm
1 1 1 1
Direct
0.750 0.750 0.750
0.500 0.500 0.500
0.250 0.250 0.250
0.000 0.000 0.000